# PBE KAuN2F, relaxed
data_KAuN2F
_chemical_formula_sum 'K1 Au1 N2 F1'
_symmetry_space_group_name_H-M 'P 1'
_symmetry_Int_Tables_number 1
_symmetry_space_group_name_Hall 'P 1'
_cell_length_a 5.364
_cell_length_b 5.364
_cell_length_c 4.678
_cell_angle_alpha 90.00
_cell_angle_beta 90.00
_cell_angle_gamma 90.00
loop_
_atom_site_label
_atom_site_type_symbol
_atom_site_fract_x
_atom_site_fract_y
_atom_site_fract_z
K1 K 0.000 0.000 0.000
Au1 Au 0.500 0.500 0.500
N1 N 0.000 0.500 0.000
N2 N 0.500 0.000 0.000
F1 F 0.000 0.000 0.500
# uncorrected formation energy = 1.656 eV per atom



# PBE Ac4SnBiSe2, relaxed
data_Ac4SnBiSe2
_chemical_formula_sum 'Ac4 Sn1 Bi1 Se2'
_symmetry_space_group_name_H-M 'P 1'
_symmetry_Int_Tables_number 1
_symmetry_space_group_name_Hall 'P 1'
_cell_length_a 7.998
_cell_length_b 4.717
_cell_length_c 8.182
_cell_angle_alpha 90.00
_cell_angle_beta 109.89
_cell_angle_gamma 90.00
loop_
_atom_site_label
_atom_site_type_symbol
_atom_site_fract_x
_atom_site_fract_y
_atom_site_fract_z
Ac1 Ac 0.242 0.000 0.242
Ac2 Ac 0.245 0.500 0.753
Ac3 Ac 0.755 0.500 0.247
Ac4 Ac 0.758 0.000 0.758
Sn1 Sn 0.500 0.000 0.000
Bi1 Bi 0.500 0.500 0.500
Se1 Se 0.000 0.000 0.500
Se2 Se 0.000 0.500 0.000
# uncorrected formation energy = -1.363 eV per atom



# PBE Ce2ErMn, relaxed
data_Ce2ErMn
_chemical_formula_sum 'Ce2 Er1 Mn1'
_symmetry_space_group_name_H-M 'P 1'
_symmetry_Int_Tables_number 1
_symmetry_space_group_name_Hall 'P 1'
_cell_length_a 8.662
_cell_length_b 8.662
_cell_length_c 8.662
_cell_angle_alpha 25.32
_cell_angle_beta 25.32
_cell_angle_gamma 25.32
loop_
_atom_site_label
_atom_site_type_symbol
_atom_site_fract_x
_atom_site_fract_y
_atom_site_fract_z
Ce1 Ce 0.000 0.000 0.000
Ce2 Ce 0.222 0.222 0.222
Er1 Er 0.774 0.774 0.774
Mn1 Mn 0.637 0.637 0.637
# formation energy from the elements = 0.22 eV/atom



# PBE KCa2Fe, relaxed
data_KCa2Fe
_chemical_formula_sum 'K1 Ca2 Fe1'
_symmetry_space_group_name_H-M 'P 1'
_symmetry_Int_Tables_number 1
_symmetry_space_group_name_Hall 'P 1'
_cell_length_a 3.887
_cell_length_b 4.273
_cell_length_c 9.550
_cell_angle_alpha 90.00
_cell_angle_beta 101.38
_cell_angle_gamma 90.00
loop_
_atom_site_label
_atom_site_type_symbol
_atom_site_fract_x
_atom_site_fract_y
_atom_site_fract_z
K1 K 0.000 0.000 0.000
Ca1 Ca 0.299 0.000 0.616
Ca2 Ca 0.676 0.500 0.363
Fe1 Fe 0.832 0.500 0.686
# formation energy from the elements = 0.56 eV/atom



# PBE CaCrMo2, relaxed
data_CaCrMo2
_chemical_formula_sum 'Ca1 Cr1 Mo2'
_symmetry_space_group_name_H-M 'P 1'
_symmetry_Int_Tables_number 1
_symmetry_space_group_name_Hall 'P 1'
_cell_length_a 5.531
_cell_length_b 5.531
_cell_length_c 5.531
_cell_angle_alpha 139.06
_cell_angle_beta 139.06
_cell_angle_gamma 59.28
loop_
_atom_site_label
_atom_site_type_symbol
_atom_site_fract_x
_atom_site_fract_y
_atom_site_fract_z
Ca1 Ca 0.000 0.000 0.000
Cr1 Cr 0.500 0.500 0.000
Mo1 Mo 0.250 0.750 0.500
Mo2 Mo 0.750 0.250 0.500
# formation energy from the elements = 0.82 eV/atom



# PBE Sr2TlGe2, relaxed
data_Sr2TlGe2
_chemical_formula_sum 'Sr2 Tl1 Ge2'
_symmetry_space_group_name_H-M 'P 1'
_symmetry_Int_Tables_number 1
_symmetry_space_group_name_Hall 'P 1'
_cell_length_a 10.451
_cell_length_b 10.451
_cell_length_c 10.451
_cell_angle_alpha 158.72
_cell_angle_beta 158.72
_cell_angle_gamma 30.27
loop_
_atom_site_label
_atom_site_type_symbol
_atom_site_fract_x
_atom_site_fract_y
_atom_site_fract_z
Sr1 Sr 0.114 0.114 0.000
Sr2 Sr 0.886 0.886 0.000
Tl1 Tl 0.500 0.500 0.000
Ge1 Ge 0.250 0.750 0.500
Ge2 Ge 0.750 0.250 0.500
# formation energy from the elements = -0.25 eV/atom



# PBE Ba2SrBe, relaxed
data_Ba2SrBe
_chemical_formula_sum 'Ba2 Sr1 Be1'
_symmetry_space_group_name_H-M 'P 1'
_symmetry_Int_Tables_number 1
_symmetry_space_group_name_Hall 'P 1'
_cell_length_a 4.239
_cell_length_b 8.753
_cell_length_c 8.753
_cell_angle_alpha 35.27
_cell_angle_beta 90.00
_cell_angle_gamma 90.00
loop_
_atom_site_label
_atom_site_type_symbol
_atom_site_fract_x
_atom_site_fract_y
_atom_site_fract_z
Ba1 Ba 0.000 0.000 0.000
Ba2 Ba 0.500 0.339 0.339
Sr1 Sr 0.500 0.661 0.661
Be1 Be 0.000 0.804 0.804
# formation energy from the elements = 0.37 eV/atom



# PBE FeRhBr3, relaxed
data_FeRhBr3
_chemical_formula_sum 'Fe1 Rh1 Br3'
_symmetry_space_group_name_H-M 'P 1'
_symmetry_Int_Tables_number 1
_symmetry_space_group_name_Hall 'P 1'
_cell_length_a 5.057
_cell_length_b 5.057
_cell_length_c 5.057
_cell_angle_alpha 90.00
_cell_angle_beta 90.00
_cell_angle_gamma 90.00
loop_
_atom_site_label
_atom_site_type_symbol
_atom_site_fract_x
_atom_site_fract_y
_atom_site_fract_z
Fe1 Fe 0.000 0.000 0.000
Rh1 Rh 0.500 0.500 0.500
Br1 Br 0.000 0.500 0.500
Br2 Br 0.500 0.000 0.500
Br3 Br 0.500 0.500 0.000
# uncorrected formation energy = 0.484 eV per atom



Ordered total magnetization results: 5.0 0.0 1.2 2.4 3.3 0.2 0.0 3.7; unit μB per cell.